22
Lattice="-6.695 -2.077 0.583 -1.504 -6.281 2.785 -3.018 -0.404 6.341" Properties=species:S:1:pos:R:3 comment="Tm2Mn2O7 | Alexandria via LeMat-Bulk | PBE+U | optimized geometry" magmom_total_mub_per_cell=11.95 e_tot_ev_per_atom=-7.8064 pbc="T T T"
Tm -2.154 -4.236 2.606
Tm -2.911 -1.297 4.384
Tm -4.749 -2.134 1.505
Tm -1.402 -1.095 1.214
Mn -7.010 -5.476 6.068
Mn -3.663 -4.438 5.776
Mn -5.501 -5.274 2.897
Mn -6.258 -2.336 4.675
O -5.157 -5.337 6.626
O -7.961 -7.528 9.053
O -6.683 -6.031 4.237
O -4.533 -2.731 5.471
O 0.000 0.000 0.000
O -3.906 -5.169 3.996
O -7.311 -3.593 5.713
O -10.115 -5.783 8.140
O -7.338 -4.922 7.898
O -9.487 -8.221 6.665
O -2.804 -2.191 2.427
O -6.710 -7.360 6.423
O -6.059 -3.425 3.082
O -8.863 -5.616 5.509